# Gd2HoCo2B2O3 (GGA+U, optimized geometry)
data_Gd2HoCo2B2O3
_chemical_formula_sum 'Gd4 Ho2 Co4 B4 O6'
_cell_length_a 3.413
_cell_length_b 3.413
_cell_length_c 21.563
_cell_angle_alpha 90.00
_cell_angle_beta 90.00
_cell_angle_gamma 90.00
_symmetry_space_group_name_H-M 'I 4/m m m'
_symmetry_Int_Tables_number 139
_symmetry_space_group_name_Hall '-I 4 2'
loop_
_atom_site_label
_atom_site_fract_x
_atom_site_fract_y
_atom_site_fract_z
Gd1 0.000 0.000 0.136
Ho1 0.000 0.000 0.500
Co1 0.000 0.500 0.250
B1 0.000 0.000 0.289
O1 0.000 0.000 0.000
O2 0.000 0.000 0.398
# **Crystal system**: tetragonal
# **Volume**: 12.56 Å³/atom
# **Magnetic moment**: 0.01 μB/f.u.
# **Electronic total energy**: -6.8937 eV per atom